# LaPrCo4

A relaxed structure of LaPrCo4 (GGA-PBE, Alexandria).

Computed properties:
As for the space group: Immm. As for the calculated total energy: -38.5 eV for the cell shown. The calculation puts the formation energy at -0.059 eV per atom. The value obtained for the energy above the most stable polymorph in this dataset is 0.000 eV per formula unit.

Unit cell a=3.925 b=5.797 c=5.797 alpha=71.94 beta=70.21 gamma=70.21
Atoms (fractional coordinates):
Co1 0.249 0.085 0.418
Co2 0.751 0.582 0.915
Co3 0.249 0.418 0.085
Co4 0.751 0.915 0.582
La1 0.000 0.000 0.000
Pr1 0.500 0.500 0.500


# NiOs

A relaxed structure of NiOs (GGA-PBE, Alexandria).

Computed properties:
As for the space group: P6_3/mmc. As for the calculated total energy: -65.2 eV for the cell shown. The calculation puts the formation energy at 0.355 eV per atom.

Unit cell a=3.991 b=3.991 c=7.695 alpha=90.00 beta=90.00 gamma=120.00
Atoms (fractional coordinates):
Ni1 0.667 0.333 0.250
Ni2 0.000 0.000 0.250
Ni3 0.333 0.667 0.750
Ni4 0.000 0.000 0.750
Os1 0.667 0.333 0.920
Os2 0.333 0.667 0.420
Os3 0.333 0.667 0.080
Os4 0.667 0.333 0.580


# Na16MgIn12

A relaxed structure of Na16MgIn12 (GGA-PBE, Alexandria).

Computed properties:
As for the space group: Cm. As for the calculated total energy: -58.9 eV for the cell shown. The calculation puts the formation energy at -0.115 eV per atom.

Unit cell a=10.259 b=10.259 c=10.126 alpha=109.54 beta=109.54 gamma=110.36
Atoms (fractional coordinates):
Na1 0.309 0.722 0.310
Na2 0.003 0.003 0.652
Na3 0.277 0.592 0.590
Na4 0.410 0.692 0.003
Na5 0.316 0.316 0.726
Na6 0.003 0.410 0.691
Na7 0.692 0.410 0.003
Na8 0.654 0.994 0.995
Na9 0.592 0.277 0.590
Na10 0.410 0.003 0.691
Na11 0.684 0.997 0.407
Na12 0.994 0.654 0.995
Na13 0.351 0.351 0.356
Na14 0.997 0.684 0.407
Na15 0.000 0.000 0.998
Na16 0.722 0.309 0.310
In1 0.184 0.819 0.814
In2 0.200 0.380 0.012
In3 0.179 0.997 0.370
In4 0.628 0.628 0.807
In5 0.380 0.200 0.012
In6 0.363 0.999 0.185
In7 0.812 0.628 0.620
In8 0.999 0.363 0.185
In9 0.801 0.801 0.181
In10 0.819 0.184 0.814
In11 0.997 0.179 0.370
In12 0.628 0.812 0.620
Mg1 0.596 0.596 0.286


# ScMnIn2

A relaxed structure of ScMnIn2 (GGA-PBE, Alexandria).

Computed properties:
As for the space group: Pmmm. As for the calculated total energy: -21.4 eV for the cell shown. The calculation puts the formation energy at -0.105 eV per atom.

Unit cell a=3.174 b=3.163 c=8.636 alpha=68.48 beta=90.00 gamma=90.00
Atoms (fractional coordinates):
Mn1 0.500 0.250 0.250
Sc1 0.500 0.750 0.750
In1 0.000 0.523 0.478
In2 0.000 0.977 0.022


# HfSc3As4

A relaxed structure of HfSc3As4 (GGA-PBE, Alexandria).

Computed properties:
As for the space group: Cmmm. As for the calculated total energy: -58.0 eV for the cell shown. The calculation puts the formation energy at -1.306 eV per atom.

Unit cell a=3.863 b=6.683 c=6.683 alpha=109.36 beta=90.00 gamma=90.00
Atoms (fractional coordinates):
As1 0.500 0.751 0.249
As2 0.000 0.249 0.249
As3 0.500 0.249 0.751
As4 0.000 0.751 0.751
Sc1 0.000 0.500 0.000
Sc2 0.500 0.500 0.500
Sc3 0.000 0.000 0.500
Hf1 0.500 0.000 0.000


# Sr2ZnAuN

A relaxed structure of Sr2ZnAuN (GGA-PBE, Alexandria).

Computed properties:
As for the space group: P4/mmm. As for the calculated total energy: -18.6 eV for the cell shown. For the uncorrected formation energy, the calculation gives -474 meV/atom. The value obtained for the energy above the most stable polymorph in this dataset is 0.391 eV per formula unit.

Unit cell a=5.368 b=5.368 c=3.981 alpha=90.00 beta=90.00 gamma=90.00
Atoms (fractional coordinates):
Sr1 0.500 0.000 0.000
Sr2 0.000 0.500 0.000
N1 0.000 0.000 0.000
Zn1 0.000 0.000 0.500
Au1 0.500 0.500 0.500


# Ca2PrF

A relaxed structure of Ca2PrF (GGA-PBE, Alexandria).

Computed properties:
As for the space group: R-3m. As for the calculated total energy: -15.7 eV for the cell shown. For the uncorrected formation energy, the calculation gives -1252 meV/atom.

Unit cell a=3.695 b=3.695 c=9.592 alpha=78.90 beta=78.90 gamma=60.00
Atoms (fractional coordinates):
Ca1 0.275 0.275 0.176
Ca2 0.725 0.725 0.824
Pr1 0.500 0.500 0.500
F1 0.000 0.000 0.000


# MgAu2Cl

A relaxed structure of MgAu2Cl (GGA-PBE, Alexandria).

Computed properties:
As for the space group: I-4m2. As for the calculated total energy: -10.8 eV for the cell shown. For the uncorrected formation energy, the calculation gives -191 meV/atom. The value obtained for the energy above the most stable polymorph in this dataset is 1.847 eV per formula unit.

Unit cell a=4.825 b=4.825 c=4.825 alpha=120.48 beta=120.48 gamma=89.16
Atoms (fractional coordinates):
Cl1 0.500 0.500 0.000
Au1 0.000 0.000 0.000
Au2 0.250 0.750 0.500
Mg1 0.750 0.250 0.500


# CaCo4Mo

A relaxed structure of CaCo4Mo (GGA-PBE, Alexandria).

Computed properties:
As for the space group: F-43m. As for the calculated total energy: -39.6 eV for the cell shown. The calculation puts the formation energy at 0.277 eV per atom.

Unit cell a=4.837 b=4.837 c=4.837 alpha=60.00 beta=60.00 gamma=60.00
Atoms (fractional coordinates):
Mo1 0.750 0.750 0.750
Co1 0.375 0.375 0.875
Co2 0.875 0.375 0.375
Co3 0.375 0.375 0.375
Co4 0.375 0.875 0.375
Ca1 0.000 0.000 0.000


# RhSCl2

A relaxed structure of RhSCl2 (GGA-PBE, Alexandria).

Computed properties:
As for the space group: R-3m. As for the calculated total energy: -13.5 eV for the cell shown. For the uncorrected formation energy, the calculation gives 421 meV/atom. The value obtained for the energy above the most stable polymorph in this dataset is 1.533 eV per formula unit.

Unit cell a=12.165 b=12.165 c=12.165 alpha=13.47 beta=13.47 gamma=13.47
Atoms (fractional coordinates):
Rh1 0.000 0.000 0.000
S1 0.500 0.500 0.500
Cl1 0.062 0.062 0.062
Cl2 0.938 0.938 0.938


# LaPm6Y5

A relaxed structure of LaPm6Y5 (GGA-PBE, Alexandria).

Computed properties:
As for the space group: Immm. As for the calculated total energy: -65.5 eV for the cell shown. The calculation puts the formation energy at 0.019 eV per atom.

Unit cell a=5.137 b=10.245 c=9.588 alpha=122.29 beta=105.54 gamma=90.00
Atoms (fractional coordinates):
Pm1 0.167 0.418 0.333
Pm2 0.167 0.915 0.333
Pm3 0.833 0.085 0.667
Pm4 0.833 0.582 0.667
Pm5 0.500 0.252 0.000
Pm6 0.500 0.748 0.000
Y1 0.667 0.667 0.334
Y2 0.668 0.168 0.336
Y3 0.333 0.333 0.666
Y4 0.000 0.500 0.000
Y5 0.332 0.832 0.664
La1 0.000 0.000 0.000


# CsCdHSe2

A relaxed structure of CsCdHSe2 (GGA-PBE, Alexandria).

Computed properties:
As for the space group: Cmme. As for the calculated total energy: -30.6 eV for the cell shown.

Unit cell a=5.730 b=7.010 c=7.983 alpha=116.04 beta=90.00 gamma=90.00
Atoms (fractional coordinates):
Se1 0.221 0.409 0.819
Se2 0.779 0.909 0.819
Se3 0.221 0.091 0.181
Se4 0.779 0.591 0.181
Cs1 0.739 0.250 0.500
Cs2 0.261 0.750 0.500
H1 0.000 0.500 0.000
H2 0.000 0.000 0.000
Cd1 0.500 0.750 0.000
Cd2 0.500 0.250 0.000


# DyLuCoOs

A relaxed structure of DyLuCoOs (GGA-PBE, Alexandria).

Computed properties:
As for the space group: F-43m. As for the calculated total energy: -28.2 eV for the cell shown. The calculation puts the formation energy at -0.188 eV per atom.

Unit cell a=4.726 b=4.726 c=4.726 alpha=60.00 beta=60.00 gamma=60.00
Atoms (fractional coordinates):
Lu1 0.500 0.500 0.500
Os1 0.250 0.250 0.250
Co1 0.750 0.750 0.750
Dy1 0.000 0.000 0.000


# Tl2As2I

A relaxed structure of Tl2As2I (GGA-PBE, Alexandria).

Computed properties:
As for the space group: I4/mmm. As for the calculated total energy: -16.2 eV for the cell shown. For the uncorrected formation energy, the calculation gives -122 meV/atom. The value obtained for the energy above the most stable polymorph in this dataset is 0.000 eV per formula unit.

Unit cell a=3.867 b=3.867 c=10.685 alpha=79.58 beta=79.58 gamma=90.00
Atoms (fractional coordinates):
Tl1 0.390 0.390 0.221
Tl2 0.610 0.610 0.779
As1 0.750 0.250 0.500
As2 0.250 0.750 0.500
I1 0.000 0.000 0.000


# CaMgOs

A relaxed structure of CaMgOs (GGA-PBE, Alexandria).

Computed properties:
As for the space group: Imm2. As for the calculated total energy: -13.7 eV for the cell shown. The calculation puts the formation energy at 0.366 eV per atom.

Unit cell a=5.561 b=5.561 c=5.561 alpha=150.22 beta=134.78 gamma=55.09
Atoms (fractional coordinates):
Os1 0.308 0.308 0.000
Mg1 0.699 0.699 0.000
Ca1 0.992 0.992 0.000


# RbLa2Ni

A relaxed structure of RbLa2Ni (GGA-PBE, Alexandria).

Computed properties:
As for the space group: R-3m. As for the calculated total energy: -16.6 eV for the cell shown. The calculation puts the formation energy at 0.001 eV per atom. The value obtained for the energy above the most stable polymorph in this dataset is 0.000 eV per formula unit.

Unit cell a=4.215 b=4.215 c=11.916 alpha=79.81 beta=79.81 gamma=60.00
Atoms (fractional coordinates):
La1 0.875 0.875 0.376
La2 0.125 0.125 0.624
Rb1 0.000 0.000 0.000
Ni1 0.500 0.500 0.500


# La4Pm3Nd2

A relaxed structure of La4Pm3Nd2 (GGA-PBE, Alexandria).

Computed properties:
As for the space group: P3m1. As for the calculated total energy: -43.0 eV for the cell shown. The calculation puts the formation energy at 0.061 eV per atom. The value obtained for the energy above the most stable polymorph in this dataset is 0.000 eV per formula unit.

Unit cell a=3.683 b=3.683 c=27.700 alpha=90.00 beta=90.00 gamma=120.00
Atoms (fractional coordinates):
Nd1 0.667 0.333 0.088
Nd2 0.667 0.333 0.874
Pm1 0.000 0.000 0.984
Pm2 0.000 0.000 0.321
Pm3 0.667 0.333 0.654
La1 0.667 0.333 0.215
La2 0.667 0.333 0.432
La3 0.000 0.000 0.545
La4 0.000 0.000 0.764


# Sm5Ho3Mg12

A relaxed structure of Sm5Ho3Mg12 (GGA-PBE, Alexandria).

Computed properties:
As for the space group: Ia-3d. As for the calculated total energy: -169.8 eV for the cell shown. The calculation puts the formation energy at 0.701 eV per atom.

Unit cell a=15.663 b=15.663 c=15.663 alpha=109.47 beta=109.47 gamma=109.47
Atoms (fractional coordinates):
Ho1 0.750 0.875 0.625
Ho2 0.625 0.375 0.750
Ho3 0.625 0.250 0.375
Ho4 0.250 0.625 0.875
Ho5 0.125 0.875 0.750
Ho6 0.375 0.625 0.250
Ho7 0.250 0.125 0.375
Ho8 0.125 0.250 0.875
Ho9 0.875 0.125 0.250
Ho10 0.750 0.375 0.125
Ho11 0.875 0.750 0.125
Ho12 0.375 0.750 0.625
Mg1 0.770 0.419 0.347
Mg2 0.851 0.928 0.081
Mg3 0.581 0.351 0.928
Mg4 0.922 0.851 0.770
Mg5 0.270 0.847 0.919
Mg6 0.919 0.572 0.149
Mg7 0.770 0.351 0.922
Mg8 0.649 0.230 0.578
Mg9 0.419 0.649 0.072
Mg10 0.653 0.081 0.230
Mg11 0.153 0.730 0.581
Mg12 0.847 0.270 0.419
Mg13 0.351 0.581 0.428
Mg14 0.928 0.851 0.581
Mg15 0.847 0.578 0.928
Mg16 0.081 0.428 0.851
Mg17 0.572 0.919 0.649
Mg18 0.428 0.347 0.578
Mg19 0.347 0.428 0.078
Mg20 0.851 0.922 0.270
Mg21 0.081 0.653 0.730
Mg22 0.270 0.422 0.851
Mg23 0.078 0.149 0.230
Mg24 0.928 0.078 0.847
Mg25 0.419 0.770 0.847
Mg26 0.422 0.153 0.572
Mg27 0.730 0.153 0.081
Mg28 0.428 0.081 0.351
Mg29 0.572 0.653 0.422
Mg30 0.578 0.730 0.649
Mg31 0.230 0.581 0.653
Mg32 0.078 0.928 0.347
Mg33 0.351 0.770 0.422
Mg34 0.422 0.270 0.351
Mg35 0.649 0.419 0.572
Mg36 0.149 0.078 0.730
Mg37 0.230 0.649 0.078
Mg38 0.922 0.072 0.653
Mg39 0.919 0.347 0.270
Mg40 0.153 0.422 0.072
Mg41 0.149 0.072 0.919
Mg42 0.072 0.149 0.419
Mg43 0.581 0.230 0.153
Mg44 0.072 0.922 0.153
Mg45 0.653 0.572 0.922
Mg46 0.578 0.847 0.428
Mg47 0.347 0.919 0.770
Mg48 0.730 0.578 0.149
Sm1 0.000 0.000 0.000
Sm2 0.750 0.625 0.375
Sm3 0.375 0.250 0.125
Sm4 0.000 0.500 0.000
Sm5 0.250 0.875 0.125
Sm6 0.125 0.375 0.250
Sm7 0.625 0.750 0.875
Sm8 0.625 0.875 0.250
Sm9 0.875 0.625 0.750
Sm10 0.500 0.500 0.000
Sm11 0.500 0.000 0.500
Sm12 0.375 0.125 0.750
Sm13 0.750 0.125 0.875
Sm14 0.500 0.000 0.000
Sm15 0.875 0.250 0.625
Sm16 0.125 0.750 0.375
Sm17 0.250 0.375 0.625
Sm18 0.500 0.500 0.500
Sm19 0.000 0.500 0.500
Sm20 0.000 0.000 0.500


# RhAuSCl2

A relaxed structure of RhAuSCl2 (GGA-PBE, Alexandria).

Computed properties:
As for the space group: P4/mmm. As for the calculated total energy: -17.1 eV for the cell shown. For the uncorrected formation energy, the calculation gives 273 meV/atom. The value obtained for the energy above the most stable polymorph in this dataset is 0.000 eV per formula unit.

Unit cell a=4.903 b=4.903 c=4.481 alpha=90.00 beta=90.00 gamma=90.00
Atoms (fractional coordinates):
Rh1 0.000 0.000 0.000
S1 0.000 0.000 0.500
Au1 0.500 0.500 0.500
Cl1 0.500 0.000 0.000
Cl2 0.000 0.500 0.000